--- 1 ---
Below is a geometry-optimized LaNd4Zn structure, with properties calculated at the PBE level.

Summary:
- mass density (g cm⁻³) = 6.69

Lattice parameters (Å, degrees): 8.2981 8.2981 6.4796 100.41 100.41 113.03
Closest atoms and distances in Å follow each position.
Positions (direct):
La  0.0969  0.9031  0.7500  8 Nd 3.44-3.69
La  0.9031  0.0969  0.2500  8 Nd 3.44-3.69
Nd  0.1164  0.3331  0.8698  2 Zn 3.23-3.26, 2 Nd 3.42-3.54, 1 La 3.44
Nd  0.2166  0.5766  0.4473  2 Zn 3.09-3.11, 1 Nd 3.42
Nd  0.3331  0.1164  0.3698  2 Zn 3.23-3.26, 2 Nd 3.42-3.54, 1 La 3.44
Nd  0.4234  0.7834  0.0527  2 Zn 3.09-3.11, 1 Nd 3.42
Nd  0.5766  0.2166  0.9473  2 Zn 3.09-3.11, 1 Nd 3.42
Nd  0.6669  0.8836  0.6302  2 Zn 3.23-3.26, 2 Nd 3.42-3.54, 1 La 3.44
Nd  0.7834  0.4234  0.5527  2 Zn 3.09-3.11, 1 Nd 3.42
Nd  0.8836  0.6669  0.1302  2 Zn 3.23-3.26, 2 Nd 3.42-3.54, 1 La 3.44
Zn  0.5005  0.4995  0.2500  8 Nd 3.09-3.26, 2 Zn 3.24
Zn  0.4995  0.5005  0.7500  8 Nd 3.09-3.26, 2 Zn 3.24

=====

--- 2 ---
Below is a geometry-optimized LaNd4Zn structure, with properties calculated at the PBE level.

Summary:
- mass density (g cm⁻³) = 6.71

Lattice parameters (Å, degrees): 3.7029 3.7029 14.1049 90.00 90.00 90.00
Closest atoms and distances in Å follow each position.
Positions (direct):
La  0.0000  0.0000  0.0000  8 Nd 3.70, 4 La 3.70
Nd  0.0000  0.0000  0.3715  4 Zn 3.18
Nd  0.0000  0.0000  0.6285  4 Zn 3.18
Nd  0.5000  0.5000  0.1856  4 La 3.70, 8 Nd 3.70-3.71
Nd  0.5000  0.5000  0.8144  4 La 3.70, 8 Nd 3.70-3.71
Zn  0.5000  0.5000  0.5000  8 Nd 3.18

=====

Least stable of them? 1.